No. 1
Compound: Rb2NaFeC6N6
Source: the Open Quantum Materials Database
Functional: GGA-PBE
Structure: optimized geometry

Lattice parameters (Å, degrees): 7.1670 7.6519 10.4253 90.00 90.54 90.00
Site moments in Bohr magnetons follow the coordinates.
Positions (direct):
N  0.2840  0.8366  0.5641  0.04
N  0.8842  0.9656  0.7170  0.00
N  0.2160  0.3366  0.9359  0.04
N  0.8513  0.7182  0.4452  0.04
N  0.3513  0.7818  0.9452  0.04
N  0.1487  0.2818  0.5548  0.04
N  0.7840  0.6634  0.0641  0.04
N  0.7160  0.1634  0.4359  0.04
N  0.6487  0.2182  0.0548  0.04
N  0.6158  0.4656  0.7830  0.01
N  0.1158  0.0344  0.2830  0.00
N  0.3842  0.5344  0.2170  0.01
C  0.7827  0.1348  0.0325  -0.02
C  0.7173  0.6348  0.4675  -0.02
C  0.0715  0.0190  0.1746  -0.01
C  0.5715  0.4810  0.6746  -0.01
C  0.8671  0.7914  0.0389  -0.02
C  0.2827  0.3652  0.5325  -0.02
C  0.6329  0.2914  0.4611  -0.02
C  0.9285  0.9810  0.8254  -0.01
C  0.4285  0.5190  0.3254  -0.01
C  0.3671  0.7086  0.5389  -0.02
C  0.1329  0.2086  0.9611  -0.02
C  0.2173  0.8652  0.9675  -0.02
Rb  0.0225  0.5718  0.7494  0.00
Rb  0.9775  0.4282  0.2506  0.00
Rb  0.4775  0.0718  0.7506  0.00
Rb  0.5225  0.9282  0.2494  0.00
Fe  0.0000  0.0000  0.0000  0.91
Fe  0.5000  0.5000  0.5000  0.89
Na  0.5000  0.5000  0.0000  0.00
Na  0.0000  0.0000  0.5000  0.00

No. 2
Compound: Rb2TcAgBr6
Source: the Open Quantum Materials Database
Functional: GGA-PBE
Structure: optimized geometry

Lattice parameters (Å, degrees): 7.6493 7.6493 7.6493 60.00 60.00 60.00
Site moments in Bohr magnetons follow the coordinates.
Positions (direct):
Br  0.2390  0.2390  0.7610  0.04
Br  0.7610  0.7610  0.2390  0.04
Br  0.7610  0.2390  0.7610  0.02
Br  0.2390  0.7610  0.7610  0.02
Br  0.2390  0.7610  0.2390  0.02
Br  0.7610  0.2390  0.2390  0.02
Rb  0.7500  0.7500  0.7500  0.00
Rb  0.2500  0.2500  0.2500  0.00
Ag  0.5000  0.5000  0.5000  0.02
Tc  0.0000  0.0000  0.0000  2.11

No. 3
Compound: PmH6Pd3
Source: the Open Quantum Materials Database
Functional: GGA-PBE
Structure: optimized geometry

Lattice parameters (Å, degrees): 7.0135 3.8851 7.3736 90.00 105.19 90.00
Positions (direct):
Pd  0.8718  0.7500  0.3932
Pd  0.6256  0.7500  0.9484
Pd  0.1282  0.2500  0.6068
Pd  0.3744  0.2500  0.0516
Pd  0.0742  0.7500  0.8821
Pd  0.9258  0.2500  0.1179
H  0.1760  0.2500  0.1518
H  0.5053  0.7500  0.7074
H  0.3805  0.7500  0.0293
H  0.0828  0.7500  0.6206
H  0.3617  0.2500  0.5311
H  0.8529  0.7500  0.1483
H  0.1471  0.2500  0.8517
H  0.9172  0.2500  0.3794
H  0.6195  0.2500  0.9707
H  0.6383  0.7500  0.4689
H  0.4947  0.2500  0.2926
H  0.8240  0.7500  0.8482
Pm  0.2958  0.7500  0.3498
Pm  0.7042  0.2500  0.6502

No. 4
Compound: SrLiNiBi
Source: the Open Quantum Materials Database
Functional: GGA-PBE
Structure: optimized geometry

Lattice parameters (Å, degrees): 4.8992 4.8992 4.8992 60.00 60.00 60.00
Positions (direct):
Bi  0.5000  0.5000  0.5000
Sr  0.0000  0.0000  0.0000
Li  0.7500  0.7500  0.7500
Ni  0.2500  0.2500  0.2500

Calculated values
Polymorph energy (0 for the lowest one) (eV per atom): 0.000

These records have E values of -7.405; -3.378; -4.332; -3.589 eV per atom, in the order they appear.